Computed, not measured: a geometry-optimized Ta2NiW structure at the PBE-GGA level of DFT.

Properties
calculated density = 15.6 g cm⁻³
crystal system = monoclinic
energy of formation from the pure elements = 0.065 eV per atom

abc: 2.726 4.410 5.413
angles: 90.00 99.34 90.00
Space group P2/m (No. 10)
Asymmetric unit:
Ta1 0.247 0.000 0.250 x2
Ni1 0.500 0.500 0.000 x1
W1 0.000 0.500 0.500 x1